(1)
Entry from Alexandria: Hf2PtO after structural relaxation (PBE-GGA).

Cell lengths 3.334, 7.671, 5.639 Å; angles 90.00, 90.00, 90.00 degrees
Space group Pmn2_1 (No. 31)
Symmetry-distinct sites (fractional):
Hf  0.000  0.019  0.000
Hf  0.000  0.617  0.813
Pt  0.000  0.281  0.650
O  0.000  0.866  0.681

As for the formation energy (no corrections): -1552 meV per atom. The total DFT energy (no corrections) comes out at -37.1 eV per formula unit.

(2)
Entry from Alexandria: RbHfPtO4 after structural relaxation (PBE-GGA).

Cell lengths 5.695, 6.425, 12.424 Å; angles 90.00, 90.00, 90.00 degrees
Space group Imma (No. 74)
Symmetry-distinct sites (fractional):
Rb  0.000  0.250  0.171
Hf  0.000  0.000  0.500
Pt  0.250  0.250  0.750
O  0.000  0.058  0.682
O  0.222  0.250  0.489

As for the formation energy (no corrections): -1758 meV per atom. The total DFT energy (no corrections) comes out at -49.1 eV per formula unit.

(3)
Entry from Alexandria: HfSbPtO2 after structural relaxation (PBE-GGA).

Cell lengths 4.099, 4.099, 5.231 Å; angles 90.00, 90.00, 90.00 degrees
Space group P4/mmm (No. 123)
Symmetry-distinct sites (fractional):
Hf  0.000  0.000  0.000
Sb  0.500  0.500  0.000
Pt  0.500  0.500  0.500
O  0.000  0.500  0.500

As for the formation energy (no corrections): 57 meV per atom. The total DFT energy (no corrections) comes out at -29.7 eV per formula unit.

(4)
Entry from Alexandria: HfSc2PtO after structural relaxation (PBE-GGA).

Cell lengths 4.310, 4.310, 4.392 Å; angles 90.00, 90.00, 90.00 degrees
Space group P4/mmm (No. 123)
Symmetry-distinct sites (fractional):
Hf  0.000  0.000  0.000
Sc  0.000  0.500  0.500
Pt  0.500  0.500  0.000
O  0.000  0.000  0.500

As for the formation energy (no corrections): -1628 meV per atom. The total DFT energy (no corrections) comes out at -41.8 eV per formula unit.

(5)
Entry from Alexandria: HfScPtO2 after structural relaxation (PBE-GGA).

Cell lengths 3.982, 3.982, 5.139 Å; angles 90.00, 90.00, 90.00 degrees
Space group P4/mmm (No. 123)
Symmetry-distinct sites (fractional):
Hf  0.000  0.000  0.000
Sc  0.500  0.500  0.500
Pt  0.500  0.500  0.000
O  0.000  0.500  0.500

As for the formation energy (no corrections): -1386 meV per atom. The total DFT energy (no corrections) comes out at -39.2 eV per formula unit.

(6)
Entry from Alexandria: HfPt2SeO after structural relaxation (PBE-GGA).

Cell lengths 4.573, 4.573, 5.063 Å; angles 90.00, 90.00, 90.00 degrees
Space group P4/mmm (No. 123)
Symmetry-distinct sites (fractional):
Hf  0.000  0.000  0.000
Pt  0.000  0.500  0.500
Se  0.000  0.000  0.500
O  0.500  0.500  0.000

As for the formation energy (no corrections): 706 meV per atom. The total DFT energy (no corrections) comes out at -26.9 eV per formula unit.

(7)
Entry from Alexandria: HfPtSeO2 after structural relaxation (PBE-GGA).

Cell lengths 3.944, 3.944, 5.796 Å; angles 90.00, 90.00, 90.00 degrees
Space group P4/mmm (No. 123)
Symmetry-distinct sites (fractional):
Hf  0.000  0.000  0.000
Pt  0.500  0.500  0.500
Se  0.000  0.000  0.500
O  0.000  0.500  0.000

As for the formation energy (no corrections): -1306 meV per atom. The total DFT energy (no corrections) comes out at -35.9 eV per formula unit.

(8)
Entry from Alexandria: HfPtSe2O after structural relaxation (PBE-GGA).

Cell lengths 5.077, 5.077, 3.781 Å; angles 90.00, 90.00, 90.00 degrees
Space group P4/mmm (No. 123)
Symmetry-distinct sites (fractional):
Hf  0.000  0.000  0.000
Pt  0.500  0.500  0.500
Se  0.000  0.500  0.500
O  0.500  0.500  0.000

As for the formation energy (no corrections): -64 meV per atom. The total DFT energy (no corrections) comes out at -28.2 eV per formula unit.

What is the formula in the third record?
HfSbPtO2

The highest total DFT energy (no corrections) belongs to which entry?
HfPt2SeO

Among the records above, which one has the highest total DFT energy (no corrections)?
HfPt2SeO

Look up the formation energy (no corrections) of the seventh one.
-1306 meV per atom